# 1
## Al2Te2H (PBE-GGA)

Data for Al2Te2H after structural relaxation.

Calculated values
Crystal system ... tetragonal
Excess energy over the best structure of this formula in the dataset ... 188 kJ/mol of formula units
Space-group type ... No. 127

Cell lengths 7.521, 7.521, 3.745 Å; angles 90.00, 90.00, 90.00 degrees
Sites, in units of the cell vectors:
1 Al 0.150 0.350 0.000
2 Al 0.350 0.850 0.000
3 Al 0.650 0.150 0.000
4 Al 0.850 0.650 0.000
5 Te 0.160 0.660 0.500
6 Te 0.340 0.160 0.500
7 Te 0.660 0.840 0.500
8 Te 0.840 0.340 0.500
9 H 0.000 0.000 0.000
10 H 0.500 0.500 0.000

# 2
## Li2DyGaAu4 (PBE-GGA)

Data for Li2DyGaAu4 after structural relaxation.

Calculated values
Crystal system ... trigonal
Energy of formation from the pure elements ... -4.58 eV per formula unit
Space-group type ... No. 166

Cell lengths 8.636, 8.636, 8.636 Å; angles 30.47, 30.47, 30.47 degrees
Sites, in units of the cell vectors:
1 Li 0.241 0.241 0.241
2 Li 0.759 0.759 0.759
3 Dy 0.000 0.000 0.000
4 Ga 0.500 0.500 0.500
5 Au 0.127 0.127 0.127
6 Au 0.393 0.393 0.393
7 Au 0.607 0.607 0.607
8 Au 0.873 0.873 0.873

# 3
## LiSi (PBE-GGA)

Data for LiSi after structural relaxation.

Calculated values
Crystal system ... orthorhombic
Energy relative to the elements, uncorrected ... -91 meV per atom
Space-group type ... No. 74

Cell lengths 4.887, 4.887, 4.887 Å; angles 135.80, 129.22, 69.56 degrees
Sites, in units of the cell vectors:
1 Li 0.367 0.117 0.250
2 Li 0.633 0.883 0.750
3 Si 0.094 0.344 0.750
4 Si 0.906 0.656 0.250

# 4
## Nb2InRu2 (PBE-GGA)

Data for Nb2InRu2 after structural relaxation.

Calculated values
Crystal system ... orthorhombic
Energy of formation from the pure elements ... -0.94 eV per formula unit
Space-group type ... No. 63

Cell lengths 11.590, 11.590, 4.508 Å; angles 90.00, 90.00, 163.92 degrees
Sites, in units of the cell vectors:
1 Nb 0.052 0.948 0.750
2 Nb 0.246 0.754 0.750
3 Nb 0.754 0.246 0.250
4 Nb 0.948 0.052 0.250
5 In 0.147 0.853 0.250
6 In 0.853 0.147 0.750
7 Ru 0.355 0.645 0.250
8 Ru 0.457 0.543 0.750
9 Ru 0.543 0.457 0.250
10 Ru 0.645 0.355 0.750

# 5
## LaPm2Sn (PBE-GGA)

Data for LaPm2Sn after structural relaxation.

Calculated values
Crystal system ... tetragonal
Energy of formation from the pure elements ... -1.84 eV per formula unit
Excess energy over the best structure of this formula in the dataset ... 0 kJ/mol of formula units
Space-group type ... No. 123

Cell lengths 4.997, 4.997, 4.869 Å; angles 90.00, 90.00, 90.00 degrees
Sites, in units of the cell vectors:
1 La 0.000 0.000 0.000
2 Pm 0.000 0.500 0.500
3 Pm 0.500 0.000 0.500
4 Sn 0.500 0.500 0.000

# 6
## In4GaAu7 (PBE-GGA)

Data for In4GaAu7 after structural relaxation.

Calculated values
Crystal system ... monoclinic
Energy of formation from the pure elements ... -1.43 eV per formula unit
Space-group type ... No. 12

Cell lengths 7.379, 7.379, 9.381 Å; angles 124.61, 124.61, 40.23 degrees
Sites, in units of the cell vectors:
1 In 0.076 0.076 0.241
2 In 0.242 0.242 0.785
3 In 0.758 0.758 0.215
4 In 0.924 0.924 0.759
5 Ga 0.500 0.500 0.500
6 Au 0.000 0.000 0.500
7 Au 0.174 0.174 0.044
8 Au 0.321 0.321 0.568
9 Au 0.424 0.424 0.165
10 Au 0.576 0.576 0.835
11 Au 0.679 0.679 0.432
12 Au 0.826 0.826 0.956

# 7
## Pm5GeBi4 (PBE-GGA)

Data for Pm5GeBi4 after structural relaxation.

Calculated values
Crystal system ... tetragonal
Energy of formation from the pure elements ... -8.76 eV per formula unit
Excess energy over the best structure of this formula in the dataset ... 0 kJ/mol of formula units
Space-group type ... No. 87

Cell lengths 7.821, 7.821, 7.821 Å; angles 99.63, 99.63, 131.72 degrees
Sites, in units of the cell vectors:
1 Pm 0.000 0.000 0.000
2 Pm 0.215 0.402 0.617
3 Pm 0.402 0.785 0.188
4 Pm 0.598 0.215 0.812
5 Pm 0.785 0.598 0.383
6 Ge 0.500 0.500 0.000
7 Bi 0.094 0.697 0.791
8 Bi 0.303 0.094 0.397
9 Bi 0.697 0.906 0.603
10 Bi 0.906 0.303 0.209

# 8
## Ca2Ag3 (PBE-GGA)

Data for Ca2Ag3 after structural relaxation.

Calculated values
Crystal system ... trigonal
Energy of formation from the pure elements ... -0.76 eV per formula unit
Excess energy over the best structure of this formula in the dataset ... 60 kJ/mol of formula units
Space-group type ... No. 164

Cell lengths 4.867, 4.867, 6.471 Å; angles 90.00, 90.00, 120.00 degrees
Sites, in units of the cell vectors:
1 Ca 0.333 0.667 0.185
2 Ca 0.667 0.333 0.815
3 Ag 0.000 0.000 0.500
4 Ag 0.333 0.667 0.654
5 Ag 0.667 0.333 0.346

# 9
## SiSb6Pb4 (PBE-GGA)

Data for SiSb6Pb4 after structural relaxation.

Calculated values
Crystal system ... monoclinic
Energy relative to the elements, uncorrected ... 106 meV per atom
Space-group type ... No. 9

Cell lengths 9.513, 9.513, 11.746 Å; angles 112.67, 112.67, 52.13 degrees
Sites, in units of the cell vectors:
1 Si 0.238 0.762 0.500
2 Si 0.762 0.238 0.000
3 Sb 0.017 0.048 0.396
4 Sb 0.048 0.017 0.896
5 Sb 0.063 0.635 0.506
6 Sb 0.134 0.285 0.735
7 Sb 0.285 0.134 0.235
8 Sb 0.351 0.894 0.732
9 Sb 0.520 0.536 0.389
10 Sb 0.536 0.520 0.889
11 Sb 0.635 0.063 0.006
12 Sb 0.818 0.957 0.660
13 Sb 0.894 0.351 0.232
14 Sb 0.957 0.818 0.160
15 Pb 0.298 0.772 0.097
16 Pb 0.330 0.376 0.154
17 Pb 0.376 0.330 0.654
18 Pb 0.420 0.944 0.458
19 Pb 0.751 0.752 0.268
20 Pb 0.752 0.751 0.768
21 Pb 0.772 0.298 0.597
22 Pb 0.944 0.420 0.958

# 10
## DyErBi2O6 (PBE-GGA)

Data for DyErBi2O6 after structural relaxation.

Calculated values
Crystal system ... trigonal
Energy relative to the elements, uncorrected ... -2389 meV per atom
Space-group type ... No. 146

Cell lengths 6.144, 6.144, 6.144 Å; angles 58.53, 58.53, 58.53 degrees
Sites, in units of the cell vectors:
1 Dy 0.000 0.000 0.000
2 Er 0.499 0.499 0.499
3 Bi 0.286 0.286 0.286
4 Bi 0.786 0.786 0.786
5 O 0.133 0.686 0.357
6 O 0.189 0.632 0.853
7 O 0.357 0.133 0.686
8 O 0.632 0.853 0.189
9 O 0.686 0.357 0.133
10 O 0.853 0.189 0.632

# 11
## Hf2NbAu2 (PBE-GGA)

Data for Hf2NbAu2 after structural relaxation.

Calculated values
Crystal system ... tetragonal
Energy of formation from the pure elements ... -1.08 eV per formula unit
Excess energy over the best structure of this formula in the dataset ... 39 kJ/mol of formula units
Space-group type ... No. 127

Cell lengths 7.824, 7.824, 3.245 Å; angles 90.00, 90.00, 90.00 degrees
Sites, in units of the cell vectors:
1 Hf 0.175 0.325 0.000
2 Hf 0.325 0.825 0.000
3 Hf 0.675 0.175 0.000
4 Hf 0.825 0.675 0.000
5 Nb 0.000 0.000 0.500
6 Nb 0.500 0.500 0.500
7 Au 0.126 0.626 0.500
8 Au 0.374 0.126 0.500
9 Au 0.626 0.874 0.500
10 Au 0.874 0.374 0.500

# 12
## Cs2SrPd2 (PBE-GGA)

Data for Cs2SrPd2 after structural relaxation.

Calculated values
Crystal system ... tetragonal
Energy of formation from the pure elements ... 0.22 eV per formula unit
Space-group type ... No. 127

Cell lengths 7.976, 7.976, 5.920 Å; angles 90.00, 90.00, 90.00 degrees
Sites, in units of the cell vectors:
1 Cs 0.169 0.331 0.000
2 Cs 0.331 0.831 0.000
3 Cs 0.669 0.169 0.000
4 Cs 0.831 0.669 0.000
5 Sr 0.000 0.000 0.500
6 Sr 0.500 0.500 0.500
7 Pd 0.119 0.619 0.500
8 Pd 0.381 0.119 0.500
9 Pd 0.619 0.881 0.500
10 Pd 0.881 0.381 0.500

# 13
## MgUGaCu (PBE-GGA)

Data for MgUGaCu after structural relaxation.

Calculated values
Crystal system ... cubic
Energy of formation from the pure elements ... 0.18 eV per formula unit
Space-group type ... No. 216

Cell lengths 4.776, 4.776, 4.776 Å; angles 60.00, 60.00, 60.00 degrees
Sites, in units of the cell vectors:
1 Mg 0.000 0.000 0.000
2 U 0.500 0.500 0.500
3 Ga 0.750 0.750 0.750
4 Cu 0.250 0.250 0.250

# 14
## Ba2SrPt2 (PBE-GGA)

Data for Ba2SrPt2 after structural relaxation.

Calculated values
Crystal system ... tetragonal
Energy of formation from the pure elements ... -1.52 eV per formula unit
Excess energy over the best structure of this formula in the dataset ... 173 kJ/mol of formula units
Space-group type ... No. 139

Cell lengths 7.004, 7.004, 7.004 Å; angles 131.79, 131.79, 70.55 degrees
Sites, in units of the cell vectors:
1 Ba 0.159 0.159 0.000
2 Ba 0.841 0.841 0.000
3 Sr 0.500 0.500 0.000
4 Pt 0.250 0.750 0.500
5 Pt 0.750 0.250 0.500

# 15
## BaFeOs2Br (PBE-GGA)

Data for BaFeOs2Br after structural relaxation.

Calculated values
Crystal system ... tetragonal
Energy relative to the elements, uncorrected ... 1986 meV per atom
Space-group type ... No. 123

Cell lengths 4.666, 4.666, 5.753 Å; angles 90.00, 90.00, 90.00 degrees
Sites, in units of the cell vectors:
1 Ba 0.000 0.000 0.000
2 Fe 0.500 0.500 0.000
3 Os 0.000 0.500 0.500
4 Os 0.500 0.000 0.500
5 Br 0.000 0.000 0.500

# 16
## Hf2AlTcP (PBE-GGA)

Data for Hf2AlTcP after structural relaxation.

Calculated values
Crystal system ... tetragonal
Energy of formation from the pure elements ... -0.17 eV per formula unit
Excess energy over the best structure of this formula in the dataset ... 0 kJ/mol of formula units
Space-group type ... No. 123

Cell lengths 4.791, 4.791, 4.357 Å; angles 90.00, 90.00, 90.00 degrees
Sites, in units of the cell vectors:
1 Hf 0.000 0.500 0.000
2 Hf 0.500 0.000 0.000
3 Al 0.000 0.000 0.500
4 Tc 0.500 0.500 0.500
5 P 0.500 0.500 0.000

# 17
## PrNd15Tl4 (PBE-GGA)

Data for PrNd15Tl4 after structural relaxation.

Calculated values
Crystal system ... tetragonal
Energy of formation from the pure elements ... -3.09 eV per formula unit
Space-group type ... No. 123

Cell lengths 4.999, 4.999, 25.657 Å; angles 90.00, 90.00, 90.00 degrees
Sites, in units of the cell vectors:
1 Pr 0.000 0.000 0.000
2 Nd 0.000 0.500 0.107
3 Nd 0.000 0.500 0.304
4 Nd 0.000 0.500 0.500
5 Nd 0.000 0.500 0.696
6 Nd 0.000 0.500 0.893
7 Nd 0.500 0.000 0.107
8 Nd 0.500 0.000 0.304
9 Nd 0.500 0.000 0.500
10 Nd 0.500 0.000 0.696
11 Nd 0.500 0.000 0.893
12 Nd 0.500 0.500 0.000
13 Nd 0.500 0.500 0.207
14 Nd 0.500 0.500 0.402
15 Nd 0.500 0.500 0.598
16 Nd 0.500 0.500 0.793
17 Tl 0.000 0.000 0.207
18 Tl 0.000 0.000 0.402
19 Tl 0.000 0.000 0.598
20 Tl 0.000 0.000 0.793

# 18
## Ac2MgRhO5 (PBE-GGA)

Data for Ac2MgRhO5 after structural relaxation.

Calculated values
Crystal system ... tetragonal
Energy relative to the elements, uncorrected ... -2067 meV per atom
Space-group type ... No. 127

Cell lengths 7.137, 7.137, 5.789 Å; angles 90.00, 90.00, 90.00 degrees
Sites, in units of the cell vectors:
1 Ac 0.173 0.327 0.000
2 Ac 0.327 0.827 0.000
3 Ac 0.673 0.173 0.000
4 Ac 0.827 0.673 0.000
5 Mg 0.000 0.000 0.500
6 Mg 0.500 0.500 0.500
7 Rh 0.000 0.500 0.500
8 Rh 0.500 0.000 0.500
9 O 0.000 0.000 0.000
10 O 0.142 0.642 0.262
11 O 0.142 0.642 0.738
12 O 0.358 0.142 0.262
13 O 0.358 0.142 0.738
14 O 0.500 0.500 0.000
15 O 0.642 0.858 0.262
16 O 0.642 0.858 0.738
17 O 0.858 0.358 0.262
18 O 0.858 0.358 0.738

# 19
## Li4Ac3Al2 (PBE-GGA)

Data for Li4Ac3Al2 after structural relaxation.

Calculated values
Crystal system ... monoclinic
Energy of formation from the pure elements ... -0.49 eV per formula unit
Space-group type ... No. 12

Cell lengths 6.309, 6.309, 9.626 Å; angles 114.83, 114.83, 47.30 degrees
Sites, in units of the cell vectors:
1 Li 0.077 0.077 0.400
2 Li 0.295 0.295 0.952
3 Li 0.705 0.705 0.048
4 Li 0.923 0.923 0.600
5 Ac 0.000 0.000 0.000
6 Ac 0.334 0.334 0.334
7 Ac 0.666 0.666 0.666
8 Al 0.386 0.386 0.718
9 Al 0.614 0.614 0.282

# 20
## PmThSc2 (PBE-GGA)

Data for PmThSc2 after structural relaxation.

Calculated values
Crystal system ... tetragonal
Energy of formation from the pure elements ... 0.09 eV per formula unit
Excess energy over the best structure of this formula in the dataset ... 0 kJ/mol of formula units
Space-group type ... No. 123

Cell lengths 3.510, 3.510, 9.326 Å; angles 90.00, 90.00, 90.00 degrees
Sites, in units of the cell vectors:
1 Pm 0.000 0.000 0.000
2 Th 0.000 0.000 0.500
3 Sc 0.500 0.500 0.257
4 Sc 0.500 0.500 0.743

# 21
## RbInP2O (PBE-GGA)

Data for RbInP2O after structural relaxation.

Calculated values
Crystal system ... tetragonal
Energy relative to the elements, uncorrected ... 283 meV per atom
Excess energy over the best structure of this formula in the dataset ... 0 kJ/mol of formula units
Space-group type ... No. 123

Cell lengths 5.404, 5.404, 4.409 Å; angles 90.00, 90.00, 90.00 degrees
Sites, in units of the cell vectors:
1 Rb 0.000 0.000 0.000
2 In 0.500 0.500 0.500
3 P 0.000 0.500 0.500
4 P 0.500 0.000 0.500
5 O 0.500 0.500 0.000

# 22
## Zr3Al2Zn (PBE-GGA)

Data for Zr3Al2Zn after structural relaxation.

Calculated values
Crystal system ... tetragonal
Energy of formation from the pure elements ... -2.29 eV per formula unit
Space-group type ... No. 123

Cell lengths 3.048, 3.048, 12.340 Å; angles 90.00, 90.00, 90.00 degrees
Sites, in units of the cell vectors:
1 Zr 0.000 0.000 0.000
2 Zr 0.000 0.000 0.335
3 Zr 0.000 0.000 0.665
4 Al 0.500 0.500 0.169
5 Al 0.500 0.500 0.831
6 Zn 0.500 0.500 0.500

# 23
## Zr2TaAs (PBE-GGA)

Data for Zr2TaAs after structural relaxation.

Calculated values
Crystal system ... monoclinic
Energy of formation from the pure elements ... -1.14 eV per formula unit
Space-group type ... No. 8

Cell lengths 5.125, 5.125, 4.958 Å; angles 103.34, 103.34, 38.58 degrees
Sites, in units of the cell vectors:
1 Zr 0.000 0.000 0.000
2 Zr 0.228 0.228 0.719
3 Ta 0.460 0.460 0.448
4 As 0.740 0.740 0.234

Energy for every record listed, in sequence, given in eV/f.u.: -15.7 -29.1 -7.5 -42.4 -20.3 -38.3 -52.7 -13.3 -43.8 -70.6 -37.6 -13.6 -19.8 -19.1 -24.6 -39.6 -88.9 -60.6 -28.0 -24.7 -18.1 -36.7 -34.7.